The following is a PBE calculation of an optimized crystal structure of Th2CuBPt6, from Alexandria.

a b c (Å): 5.7070 5.7070 13.3675
angles (deg): 77.67 77.67 60.00
Closest atoms and distances in Å follow each position.
Positions (direct):
Th 0.8926 0.8926 0.3222  9 Pt 3.05-3.32, 3 Cu 3.40
Th 0.1074 0.1074 0.6778  9 Pt 3.05-3.32, 3 Cu 3.40
Th 0.7242 0.7242 0.8275  6 Pt 3.00
Th 0.2758 0.2758 0.1725  6 Pt 3.00
Cu 0.5807 0.5807 0.2578  6 Pt 2.58-2.59
Cu 0.4193 0.4193 0.7422  6 Pt 2.58-2.59
B 0.0000 0.0000 0.0000  6 Pt 2.13
B 0.5000 0.5000 0.5000  6 Pt 2.14
Pt 0.8842 0.3557 0.4044  1 B 2.14
Pt 0.3557 0.8842 0.4044  1 B 2.14
Pt 0.3557 0.3557 0.4044  1 B 2.14
Pt 0.1158 0.6443 0.5956  1 B 2.14
Pt 0.6443 0.1158 0.5956  1 B 2.14
Pt 0.6443 0.6443 0.5956  1 B 2.14
Pt 0.6938 0.2036 0.8989  1 B 2.13
Pt 0.2036 0.6938 0.8989  1 B 2.13
Pt 0.2036 0.2036 0.8989  1 B 2.13
Pt 0.3062 0.7964 0.1011  1 B 2.13
Pt 0.7964 0.3062 0.1011  1 B 2.13
Pt 0.7964 0.7964 0.1011  1 B 2.13

Calculated values
Total energy ... -7.05 eV/atom
Fermi-level density of states ... 0.1905 states/eV per atom
Formation energy from the elements ... -869 meV per atom
Space-group type ... R-3m



The following is a PBE calculation of an optimized crystal structure of Tb12Tm7Mg, from Alexandria.

a b c (Å): 10.2827 10.2827 10.2827
angles (deg): 109.47 109.47 109.47
Closest atoms and distances in Å follow each position.
Positions (direct):
Tb 0.3904 0.6481 0.7423  4 Tm 3.21-3.53, 1 Tb 3.52
Tb 0.9058 0.6481 0.2577  4 Tm 3.21-3.53, 1 Tb 3.52
Tb 0.6096 0.3519 0.2577  4 Tm 3.21-3.53, 1 Tb 3.52
Tb 0.0942 0.3519 0.7423  4 Tm 3.21-3.53, 1 Tb 3.52
Tb 0.7423 0.0942 0.3519  4 Tm 3.21-3.53, 1 Tb 3.52
Tb 0.7423 0.3904 0.6481  4 Tm 3.21-3.53, 1 Tb 3.52
Tb 0.2577 0.9058 0.6481  4 Tm 3.21-3.53, 1 Tb 3.52
Tb 0.2577 0.6096 0.3519  4 Tm 3.21-3.53, 1 Tb 3.52
Tb 0.6481 0.7423 0.3904  4 Tm 3.21-3.53, 1 Tb 3.52
Tb 0.3519 0.2577 0.6096  4 Tm 3.21-3.53, 1 Tb 3.52
Tb 0.6481 0.2577 0.9058  4 Tm 3.21-3.53, 1 Tb 3.52
Tb 0.3519 0.7423 0.0942  4 Tm 3.21-3.53, 1 Tb 3.52
Tm 0.5000 0.5000 0.0000  8 Tb 3.37-3.53
Tm 0.0000 0.5000 0.5000  8 Tb 3.37-3.53
Tm 0.5000 0.0000 0.5000  8 Tb 3.37-3.53
Tm 0.5000 0.5000 0.5000  6 Tb 3.21
Tm 0.0000 0.0000 0.5000  6 Tb 3.21
Tm 0.5000 0.0000 0.0000  6 Tb 3.21
Tm 0.0000 0.5000 0.0000  6 Tb 3.21
Mg 0.0000 0.0000 0.0000  8 Tm 5.14, 12 Tb 5.18

Calculated values
Total energy ... -3.60 eV/atom
Fermi-level density of states ... 1.8610 states/eV per atom
Formation energy from the elements ... 826 meV per atom
Space-group type ... Im-3
Offset from the most stable computed form ... 663 meV/atom



The following is a PBE calculation of an optimized crystal structure of PRuBr, from Alexandria.

a b c (Å): 4.2929 4.2929 4.2929
angles (deg): 60.00 60.00 60.00
Closest atoms and distances in Å follow each position.
Positions (direct):
Br 0.2500 0.2500 0.2500  4 Ru 2.63, 4 P 2.63
P 0.0000 0.0000 0.0000  4 Br 2.63
Ru 0.5000 0.5000 0.5000  4 Br 2.63

Calculated values
Total energy ... -3.96 eV/atom
Fermi-level density of states ... 1.4703 states/eV per atom
E_form (uncorrected) ... 1.494 eV per atom
Space-group type ... F-43m
Offset from the most stable computed form ... 1791 meV/atom



The following is a PBE calculation of an optimized crystal structure of TiNiOs, from Alexandria.

a b c (Å): 5.0041 7.2127 4.7156
angles (deg): 90.00 90.00 90.00
Closest atoms and distances in Å follow each position.
Positions (direct):
Ni 0.2500 0.7223 0.9498  2 Ni 2.39, 4 Os 2.50-2.53
Ni 0.7500 0.2777 0.9498  2 Ni 2.39, 4 Os 2.50-2.53
Ni 0.7500 0.2223 0.4498  2 Ni 2.39, 4 Os 2.50-2.53
Ni 0.2500 0.7777 0.4498  2 Ni 2.39, 4 Os 2.50-2.53
Os 0.0000 0.0000 0.7587  4 Ni 2.50-2.53, 2 Os 2.50, 2 Ti 2.74
Os 0.5000 0.0000 0.7587  4 Ni 2.50-2.53, 2 Os 2.50, 2 Ti 2.74
Os 0.5000 0.5000 0.2587  4 Ni 2.50-2.53, 2 Os 2.50, 2 Ti 2.74
Os 0.0000 0.5000 0.2587  4 Ni 2.50-2.53, 2 Os 2.50, 2 Ti 2.74
Ti 0.2500 0.1260 0.2394  3 Ni 2.70-2.78, 6 Os 2.74-2.98, 2 Ti 2.96
Ti 0.7500 0.8740 0.2394  3 Ni 2.70-2.78, 6 Os 2.74-2.98, 2 Ti 2.96
Ti 0.7500 0.6260 0.7394  3 Ni 2.70-2.78, 6 Os 2.74-2.98, 2 Ti 2.96
Ti 0.2500 0.3740 0.7394  3 Ni 2.70-2.78, 6 Os 2.74-2.98, 2 Ti 2.96

Calculated values
Total energy ... -8.60 eV/atom
Fermi-level density of states ... 0.9924 states/eV per atom
Formation energy from the elements ... -297 meV per atom
Space-group type ... Ima2
Offset from the most stable computed form ... 138 meV/atom